This record from Alexandria via LeMat-Bulk describes a relaxed structure of Ce2PuHf. The functional is PBE.

Structure (CIF):
```
data_Ce2PuHf
_symmetry_space_group_name_H-M 'R 3 m'
_symmetry_Int_Tables_number 160
_symmetry_space_group_name_Hall 'R 3 -2"'
_cell_length_a 3.2874
_cell_length_b 3.2874
_cell_length_c 32.3629
_cell_angle_alpha 90.00
_cell_angle_beta 90.00
_cell_angle_gamma 120.00
loop_
_atom_site_label
_atom_site_type_symbol
_atom_site_fract_x
_atom_site_fract_y
_atom_site_fract_z
Ce1 Ce 0.0000 0.0000 0.0000
Ce2 Ce 0.0000 0.0000 0.1661
Pu1 Pu 0.0000 0.0000 0.4132
Hf1 Hf 0.0000 0.0000 0.5841
```

Computed properties:
The density of states at the Fermi level comes out at 12.2 states/eV/f.u. Its energy above the most stable polymorph in this dataset is 1.6 kJ per mole of atoms. The value obtained for the energy of formation is 151 meV per atom.